<i>
12
Lattice="4.572 0.000 0.000 -2.286 10.267 -0.517 0.000 -5.168 8.008" Properties=species:S:1:pos:R:3 comment="PmTm3Pb2 | Alexandria | PBE-GGA | optimized geometry" crystal_system=monoclinic dos_ef_per_ev_atom=1.21 pbc="T T T"
Tm 0.000 6.327 1.260
Tm 2.286 1.387 3.781
Tm 2.286 -1.228 6.230
Tm 0.000 -1.036 3.370
Tm 0.000 3.712 3.709
Tm 2.286 6.135 4.120
Pb 2.286 4.104 1.497
Pb 0.000 5.775 6.113
Pb 0.000 0.994 5.993
Pb 2.286 -0.676 1.377
Pm 2.286 3.255 6.837
Pm 0.000 1.844 0.653

<ii>
6
Lattice="-4.318 -1.132 0.867 1.156 -4.398 0.015 1.565 0.440 8.369" Properties=species:S:1:pos:R:3 comment="PmTm3Pb2 | Alexandria | PBE-GGA | optimized geometry" crystal_system=tetragonal dos_ef_per_ev_atom=0.72 pbc="T T T"
Pb 1.033 -2.071 2.439
Pb -1.049 -0.254 6.371
Tm 0.000 0.000 0.000
Tm 1.610 -1.909 5.527
Tm -1.626 -0.416 3.283
Pm -1.581 -2.765 0.441

What should be chosen as the least stable of them? Choose <i>.